Compound: BaSr2Ca
Source: Alexandria
Functional: GGA-PBE
Structure: relaxed

- DFT formation energy: 0.021 eV per atom
- Relative energy among the computed polymorphs: 0.005 eV per atom
- Calculated volume: 52.65 Å³ per atom
- Total magnetic moment: 0.00 μB/f.u.
- Density: 2.8 Mg/m³

abc: 4.085 6.761 7.711
angles: 90.00 98.49 90.00
Space group P2/m (No. 10)
Unique sites:
Ba 0.000 0.000 0.000 (multiplicity 1)
Sr 0.260 0.500 0.744 (multiplicity 2)
Ca 0.500 0.000 0.500 (multiplicity 1)